[1]
This record from Alexandria via LeMat-Bulk describes a relaxed structure of PuNp3Ag3Se8. The functional is GGA-PBE.

a b c (Å): 8.474 8.474 7.896
angles (deg): 122.47 90.00 120.00
Site moments in Bohr magnetons follow the coordinates.
Atoms (fractional coordinates):
Se 0.252 0.994 0.746  -0.04
Se 0.748 0.496 0.254  -0.04
Se 0.258 0.006 0.254  -0.04
Np 0.500 0.500 0.500  3.74
Ag 0.000 0.000 0.000  -0.02
Se 0.742 0.994 0.746  -0.04
Np 0.500 0.000 0.500  3.74
Se 0.748 0.006 0.254  -0.04
Se 0.252 0.504 0.746  -0.04
Se 0.750 0.500 0.749  -0.09
Ag 0.500 0.500 0.000  -0.02
Pu 0.000 0.000 0.500  -5.09
Ag 0.000 0.500 0.000  -0.02
Se 0.250 0.500 0.251  -0.09
Np 0.000 0.500 0.500  3.74

Computed properties:
Crystal system: trigonal
Space group: No. 166



[2]
This record from Alexandria via LeMat-Bulk describes a relaxed structure of Rb2NpAg2S6. The functional is GGA-PBE.

a b c (Å): 7.578 7.578 7.803
angles (deg): 60.95 60.95 60.00
Site moments in Bohr magnetons follow the coordinates.
Atoms (fractional coordinates):
Ag 0.418 0.418 0.746  0.05
Ag 0.582 0.582 0.254  0.05
S 0.770 0.770 0.238  0.09
S 0.770 0.222 0.238  0.09
S 0.230 0.778 0.762  0.09
Np 0.000 0.000 0.000  -0.63
S 0.778 0.230 0.762  0.09
Rb 0.230 0.230 0.310  0.00
S 0.230 0.230 0.762  0.09
S 0.222 0.770 0.238  0.09
Rb 0.770 0.770 0.690  0.00

Computed properties:
Crystal system: trigonal
Space group: No. 166



[3]
This record from Alexandria via LeMat-Bulk describes a relaxed structure of Rb3Np3AgS8. The functional is GGA-PBE.

a b c (Å): 7.991 8.083 9.052
angles (deg): 116.93 90.00 119.62
Site moments in Bohr magnetons follow the coordinates.
Atoms (fractional coordinates):
Rb 0.000 0.500 0.000  0.00
Np 0.500 0.500 0.500  -3.26
S 0.235 0.950 0.686  0.02
Np 0.000 0.500 0.500  -3.26
S 0.268 0.537 0.307  0.04
Np 0.500 0.000 0.500  3.21
S 0.765 0.050 0.314  0.02
S 0.286 0.051 0.314  0.02
Rb 0.000 0.000 0.000  0.00
S 0.245 0.490 0.691  0.12
S 0.755 0.510 0.309  0.12
Rb 0.500 0.500 0.000  0.00
S 0.714 0.949 0.686  0.02
S 0.732 0.463 0.693  0.04
Ag 0.000 0.000 0.500  0.03

Computed properties:
Crystal system: monoclinic
Space group: No. 12



[4]
This record from Alexandria via LeMat-Bulk describes a relaxed structure of Rb2Np3AgS8. The functional is GGA-PBE.

a b c (Å): 7.981 7.981 9.371
angles (deg): 64.80 64.80 60.00
Site moments in Bohr magnetons follow the coordinates.
Atoms (fractional coordinates):
S 0.753 0.753 0.205  -0.13
Np 0.492 0.991 0.025  3.07
S 0.753 0.289 0.205  -0.13
S 0.289 0.753 0.205  -0.13
S 0.230 0.230 0.851  -0.13
Rb 0.135 0.135 0.596  0.00
S 0.230 0.690 0.851  -0.13
Np 0.991 0.492 0.025  3.07
Rb 0.491 0.491 0.528  0.00
Np 0.492 0.492 0.025  3.07
S 0.716 0.716 0.853  -0.12
S 0.268 0.268 0.197  -0.11
S 0.690 0.230 0.851  -0.13
Ag 0.964 0.964 0.107  -0.05

Computed properties:
Crystal system: trigonal
Space group: No. 160



[5]
This record from Alexandria via LeMat-Bulk describes a relaxed structure of Rb2NpAg2S4. The functional is GGA-PBE.

a b c (Å): 4.151 7.923 7.831
angles (deg): 108.92 105.37 90.00
Site moments in Bohr magnetons follow the coordinates.
Atoms (fractional coordinates):
Rb 0.136 0.567 0.272  0.00
Np 0.000 0.000 0.000  3.34
S 0.189 0.184 0.378  -0.06
Ag 0.321 0.018 0.642  -0.02
Ag 0.679 0.982 0.358  -0.02
S 0.491 0.224 0.981  -0.08
S 0.509 0.776 0.019  -0.08
Rb 0.864 0.433 0.728  0.00
S 0.811 0.816 0.622  -0.06

Computed properties:
Crystal system: monoclinic
Space group: No. 12



[6]
This record from Alexandria via LeMat-Bulk describes a relaxed structure of RbNpAgS4. The functional is GGA-PBE.

a b c (Å): 6.692 6.808 10.422
angles (deg): 90.00 126.30 90.00
Site moments in Bohr magnetons follow the coordinates.
Atoms (fractional coordinates):
S 0.884 0.007 0.309  -0.16
Np 0.215 0.250 0.544  2.22
S 0.645 0.250 0.806  -0.17
S 0.623 0.750 0.619  -0.22
S 0.116 0.507 0.691  -0.16
Np 0.785 0.750 0.456  2.22
S 0.355 0.750 0.194  -0.17
Ag 0.791 0.250 0.634  -0.11
Ag 0.209 0.750 0.366  -0.11
S 0.884 0.493 0.309  -0.16
S 0.377 0.250 0.381  -0.22
Rb 0.673 0.750 0.950  0.00
S 0.116 0.993 0.691  -0.16
Rb 0.327 0.250 0.050  0.00

Computed properties:
Crystal system: monoclinic
Space group: No. 11



[7]
This record from Alexandria via LeMat-Bulk describes a relaxed structure of RbNp2AgS4. The functional is GGA-PBE.

a b c (Å): 4.114 7.146 14.198
angles (deg): 90.00 90.00 106.73
Site moments in Bohr magnetons follow the coordinates.
Atoms (fractional coordinates):
S 0.000 0.000 0.500  -0.11
S 0.437 0.874 0.750  -0.07
S 0.740 0.480 0.599  -0.09
Np 0.630 0.260 0.061  3.91
S 0.563 0.126 0.250  -0.07
S 0.260 0.520 0.401  -0.09
Np 0.630 0.260 0.439  3.91
Ag 0.835 0.669 0.750  -0.01
Ag 0.165 0.331 0.250  -0.01
Np 0.370 0.740 0.939  3.91
S 0.000 0.000 0.000  -0.11
Rb 0.114 0.228 0.750  0.00
S 0.740 0.480 0.901  -0.09
Np 0.370 0.740 0.561  3.91
S 0.260 0.520 0.099  -0.09
Rb 0.886 0.772 0.250  0.00

Computed properties:
Crystal system: orthorhombic
Space group: No. 63



[8]
This record from Alexandria via LeMat-Bulk describes a relaxed structure of Rb2NpAgS4. The functional is GGA-PBE.

a b c (Å): 4.101 7.995 6.919
angles (deg): 71.31 90.00 90.00
Site moments in Bohr magnetons follow the coordinates.
Atoms (fractional coordinates):
S 0.500 0.304 0.708  -0.11
Np 0.000 0.500 0.500  2.75
S 0.000 0.680 0.750  -0.14
Rb 0.000 0.000 0.000  0.00
S 0.500 0.696 0.292  -0.11
Ag 0.500 0.500 0.000  -0.08
Rb 0.500 0.000 0.500  -0.01
S 0.000 0.320 0.250  -0.14

Computed properties:
Crystal system: monoclinic
Space group: No. 10



[9]
This record from Alexandria via LeMat-Bulk describes a relaxed structure of RbNp3Ag2S8. The functional is GGA-PBE.

a b c (Å): 8.311 8.311 7.826
angles (deg): 57.93 57.93 60.00
Site moments in Bohr magnetons follow the coordinates.
Atoms (fractional coordinates):
Np 0.504 0.504 0.996  3.11
Ag 0.472 0.472 0.585  -0.06
S 0.719 0.331 0.230  -0.17
Ag 0.123 0.123 0.630  -0.04
S 0.262 0.262 0.214  -0.11
S 0.741 0.741 0.777  -0.12
Rb 0.915 0.915 0.256  -0.01
S 0.719 0.719 0.230  -0.17
S 0.239 0.729 0.794  -0.12
Np 0.997 0.504 0.996  3.11
Np 0.504 0.997 0.996  3.11
S 0.729 0.239 0.794  -0.12
S 0.331 0.719 0.230  -0.17
S 0.239 0.239 0.794  -0.12

Computed properties:
Crystal system: trigonal
Space group: No. 160



[10]
This record from Alexandria via LeMat-Bulk describes a relaxed structure of RbNp4Ag3S12. The functional is GGA-PBE.

a b c (Å): 8.550 8.550 8.550
angles (deg): 109.47 109.47 109.47
Site moments in Bohr magnetons follow the coordinates.
Atoms (fractional coordinates):
S 0.306 0.181 0.487  -0.16
Np 0.500 0.000 0.000  2.68
S 0.181 0.487 0.306  -0.16
Ag 0.000 0.500 0.500  -0.09
S 0.819 0.513 0.694  -0.16
S 0.694 0.819 0.513  -0.16
S 0.819 0.125 0.306  -0.16
Ag 0.500 0.000 0.500  -0.09
S 0.875 0.694 0.181  -0.16
S 0.125 0.306 0.819  -0.16
S 0.513 0.694 0.819  -0.16
Np 0.000 0.500 0.000  2.68
S 0.487 0.306 0.181  -0.16
Np 0.000 0.000 0.500  2.68
Rb 0.000 0.000 0.000  0.00
S 0.181 0.875 0.694  -0.16
S 0.306 0.819 0.125  -0.16
S 0.694 0.181 0.875  -0.16
Np 0.500 0.500 0.500  2.68
Ag 0.500 0.500 0.000  -0.09

Computed properties:
Crystal system: cubic
Space group: No. 204



[11]
This record from Alexandria via LeMat-Bulk describes a relaxed structure of Rb3NpAg2Se6. The functional is GGA-PBE.

a b c (Å): 7.996 7.996 8.929
angles (deg): 90.00 90.00 120.00
Site moments in Bohr magnetons follow the coordinates.
Atoms (fractional coordinates):
Ag 0.667 0.333 0.706  -0.09
Se 0.848 0.697 0.690  -0.18
Se 0.152 0.848 0.310  -0.18
Se 0.152 0.303 0.310  -0.18
Se 0.848 0.152 0.690  -0.18
Rb 0.000 0.000 0.000  -0.01
Rb 0.333 0.667 0.672  0.00
Se 0.697 0.848 0.310  -0.18
Rb 0.667 0.333 0.328  0.00
Ag 0.333 0.667 0.294  -0.09
Np 0.000 0.000 0.500  2.15
Se 0.303 0.152 0.690  -0.18

Computed properties:
Crystal system: trigonal
Space group: No. 164



[12]
This record from Alexandria via LeMat-Bulk describes a relaxed structure of Rb2NpAgSe4. The functional is GGA-PBE.

a b c (Å): 4.228 8.333 7.446
angles (deg): 70.11 90.00 90.00
Site moments in Bohr magnetons follow the coordinates.
Atoms (fractional coordinates):
Se 0.000 0.671 0.762  -0.17
Np 0.000 0.500 0.500  3.06
Se 0.500 0.296 0.706  -0.13
Se 0.000 0.329 0.238  -0.17
Rb 0.000 0.000 0.000  -0.01
Rb 0.500 0.000 0.500  -0.01
Ag 0.500 0.500 0.000  -0.07
Se 0.500 0.704 0.294  -0.13

Computed properties:
Crystal system: monoclinic
Space group: No. 10



How do the records compare in formation energy from raw total energies? In the order shown, they have -0.8103; -0.6178; -1.1464; -1.1373; -0.9346; -0.7684; -1.1392; -0.9563; -0.9297; -0.8017; -0.6912; -0.8808 eV per atom.
How do the records compare in total moment? In the order shown, they have 5.9; 0.3; 2.9; 8.0; 3.0; 2.1; 16.0; 2.0; 8.0; 7.9; 0.2; 2.1 μB/cell.